# 1
PuFeSb2 | PBE | relaxed

a b c (Å): 10.195 10.195 10.195
angles (deg): 18.89 18.89 18.89
Sites, in units of the cell vectors:
Pu 0.000 0.000 0.000
Fe 0.500 0.500 0.500
Sb 0.107 0.107 0.107
Sb 0.893 0.893 0.893

Output
E_form (uncorrected) (meV per atom): 181


# 2
Li3HgBr | PBE | relaxed

a b c (Å): 4.883 4.883 4.883
angles (deg): 90.00 90.00 90.00
Sites, in units of the cell vectors:
Li 0.000 0.000 0.500
Li 0.000 0.500 0.000
Li 0.500 0.000 0.000
Hg 0.500 0.500 0.500
Br 0.000 0.000 0.000

Output
E_form (uncorrected) (meV per atom): -501


# 3
Ca2Sn8Ir | PBE | relaxed

a b c (Å): 4.733 4.733 12.590
angles (deg): 90.00 90.00 90.00
Sites, in units of the cell vectors:
Ca 0.000 0.000 0.193
Ca 0.000 0.000 0.807
Sn 0.000 0.500 0.000
Sn 0.000 0.500 0.379
Sn 0.000 0.500 0.621
Sn 0.500 0.000 0.000
Sn 0.500 0.000 0.379
Sn 0.500 0.000 0.621
Sn 0.500 0.500 0.193
Sn 0.500 0.500 0.807
Ir 0.000 0.000 0.500

Output
Formation enthalpy at 0 K (kJ per mole of atoms): -31.2